The following is a DFT calculation (PBE) of an optimized crystal structure of Dy3Y2Ho8.

Values from the calculation:
The total magnetization is 0.0 Bohr magnetons per cell. The total energy is -4.63 eV per atom.

Cell lengths 20.282, 7.583, 5.566 Å; angles 90.00, 90.02, 90.00 degrees
Space group C2/m (No. 12)
Asymmetric unit:
Dy 0.000 0.000 0.000 [2 per cell]
Dy 0.000 0.286 0.500 [4 per cell]
Y 0.241 0.000 0.999 [4 per cell]
Ho 0.108 0.288 0.000 [8 per cell]
Ho 0.132 0.000 0.500 [4 per cell]
Ho 0.165 0.500 0.500 [4 per cell]


The following is a DFT calculation (PBE) of an optimized crystal structure of Dy9Y2Ho3.

Values from the calculation:
The total magnetization is 0.0 Bohr magnetons per cell. The total energy is -4.75 eV per atom.

Cell lengths 16.425, 5.573, 10.204 Å; angles 90.00, 105.65, 90.00 degrees
Space group Cm (No. 8)
Asymmetric unit:
Dy 0.000 0.000 0.000 [2 per cell]
Dy 0.011 0.000 0.386 [2 per cell]
Dy 0.078 0.500 0.615 [2 per cell]
Dy 0.126 0.500 0.991 [2 per cell]
Dy 0.172 0.000 0.248 [2 per cell]
Dy 0.205 0.000 0.616 [2 per cell]
Dy 0.238 0.500 0.444 [2 per cell]
Dy 0.291 0.500 0.809 [2 per cell]
Dy 0.459 0.500 0.659 [2 per cell]
Y 0.372 0.000 0.438 [2 per cell]
Y 0.411 0.000 0.815 [2 per cell]
Ho 0.247 0.000 0.974 [2 per cell]
Ho 0.330 0.500 0.170 [2 per cell]
Ho 0.478 0.000 0.180 [2 per cell]


The following is a DFT calculation (PBE) of an optimized crystal structure of Dy7Y16Ho6.

Values from the calculation:
The total magnetization is 0.1 Bohr magnetons per cell. The total energy is -5.37 eV per atom.

Cell lengths 15.753, 15.753, 15.753 Å; angles 90.00, 90.00, 90.00 degrees
Space group Fm-3m (No. 225)
Asymmetric unit:
Dy 0.000 0.000 0.000 [4 per cell]
Dy 0.000 0.250 0.250 [24 per cell]
Y 0.123 0.123 0.123 [32 per cell]
Y 0.151 0.151 0.349 [32 per cell]
Ho 0.000 0.000 0.273 [24 per cell]